# Li2TiFe2O5 | Alexandria via LeMat-Bulk | GGA+U | relaxed
data_Li2TiFe2O5
_cell_length_a 5.193
_cell_length_b 5.202
_cell_length_c 7.945
_cell_angle_alpha 71.00
_cell_angle_beta 83.32
_cell_angle_gamma 70.39
_space_group_name_H-M_alt 'P 1'
_space_group_IT_number 1
loop_
_space_group_symop_operation_xyz
'x,y,z'
loop_
_atom_site_label
_atom_site_fract_x
_atom_site_fract_y
_atom_site_fract_z
Li1 0.000 0.000 0.000
Li2 0.003 0.195 0.611
Li3 0.491 0.703 0.612
Li4 0.499 0.318 0.419
Ti1 0.490 0.119 0.797
Ti2 0.975 0.818 0.410
Fe1 0.004 0.402 0.213
Fe2 0.492 0.501 0.015
Fe3 0.498 0.895 0.218
Fe4 0.984 0.596 0.809
O1 0.226 0.652 0.232
O2 0.229 0.016 0.414
O3 0.254 0.242 0.999
O4 0.257 0.433 0.619
O5 0.273 0.857 0.816
O6 0.733 0.330 0.812
O7 0.733 0.773 0.005
O8 0.744 0.956 0.611
O9 0.754 0.148 0.228
O10 0.772 0.567 0.420
# - polymorph energy (0 for the lowest one) (eV per atom) = 0.0139